1.
PuU2Re (PBE-GGA, relaxed); total magnetization = 0.44 μB/atom; calculated volume = 18.95 Å³ per atom; density = 19.85 Mg/m³; excess energy over the best structure of this formula in the dataset = 0.21 eV per formula unit
1.0
-3.284 -0.294 0.572
0.480 -3.103 1.156
0.868 2.462 6.248
Re U Pu
1 2 1
direct
0.500 0.500 0.000
0.000 0.000 0.739
0.000 0.000 0.261
0.500 0.500 0.500

2.
PuU2Re (PBE-GGA, relaxed); total magnetization = 0.00 μB/atom; calculated volume = 18.32 Å³ per atom; density = 20.54 Mg/m³; excess energy over the best structure of this formula in the dataset = 0.12 eV per formula unit
1.0
3.382 0.000 0.000
-1.691 5.940 0.000
0.000 0.000 7.297
Pu U Re
2 4 2
direct
0.228 0.456 0.250
0.772 0.544 0.750
0.364 0.727 0.524
0.636 0.273 0.476
0.636 0.273 0.024
0.364 0.727 0.976
0.966 0.932 0.250
0.034 0.068 0.750

3.
PuU3Re2 (PBE-GGA, relaxed); total magnetization = 0.57 μB/atom; calculated volume = 18.12 Å³ per atom; density = 20.33 Mg/m³; raw total energy = -146.1 eV/cell
1.0
-4.281 -3.458 0.258
5.015 -1.737 -1.475
1.433 0.970 8.648
Pu U Re
2 6 4
direct
0.337 0.337 0.675
0.663 0.663 0.325
0.664 0.168 0.833
0.832 0.336 0.167
0.336 0.832 0.167
0.168 0.664 0.833
0.829 0.829 0.659
0.171 0.171 0.341
0.250 0.750 0.500
0.755 0.755 0.000
0.750 0.250 0.500
0.245 0.245 0.000

4.
PuURe4 (PBE-GGA, relaxed); total magnetization = 0.56 μB/atom; calculated volume = 18.43 Å³ per atom; density = 18.43 Mg/m³; raw total energy = -75.1 eV/cell
1.0
-4.031 -2.775 -2.253
1.049 -3.653 -3.818
-0.580 -5.249 1.063
Re U Pu
4 1 1
direct
0.625 0.625 0.124
0.625 0.124 0.625
0.625 0.625 0.625
0.124 0.625 0.625
0.250 0.250 0.250
0.000 0.000 0.000

5.
PuV2Re (PBE-GGA, relaxed); total magnetization = 1.01 μB/atom; calculated volume = 15.65 Å³ per atom; density = 14.11 Mg/m³; excess energy over the best structure of this formula in the dataset = 0.32 eV per formula unit
1.0
4.457 0.000 0.000
2.229 3.860 0.000
2.229 1.287 3.639
Re V Pu
1 2 1
direct
0.500 0.500 0.500
0.250 0.250 0.250
0.750 0.750 0.750
0.000 0.000 0.000

6.
PuV2Re (PBE-GGA, relaxed); total magnetization = 1.10 μB/atom; calculated volume = 16.20 Å³ per atom; density = 13.64 Mg/m³; excess energy over the best structure of this formula in the dataset = 0.00 eV per formula unit
1.0
3.031 0.000 0.000
0.000 3.031 0.000
0.000 0.000 7.053
Re V Pu
1 2 1
direct
0.500 0.500 0.000
0.000 0.000 0.786
0.000 0.000 0.214
0.500 0.500 0.500

7.
PuV2Re (PBE-GGA, relaxed); total magnetization = 1.04 μB/atom; calculated volume = 15.56 Å³ per atom; density = 14.19 Mg/m³; excess energy over the best structure of this formula in the dataset = 0.48 eV per formula unit
1.0
-1.170 -2.541 1.063
2.381 -2.382 -3.075
3.457 -0.357 2.953
Re V Pu
1 2 1
direct
0.500 0.000 0.000
0.000 0.000 0.500
0.000 0.500 0.000
0.500 0.500 0.500

8.
PuVReW (PBE-GGA, relaxed); total magnetization = 1.03 μB/atom; calculated volume = 16.51 Å³ per atom; density = 16.72 Mg/m³; raw total energy = -47.8 eV/cell
1.0
4.537 0.000 0.000
2.269 3.929 0.000
2.269 1.310 3.705
Re V W Pu
1 1 1 1
direct
0.000 0.000 0.000
0.250 0.250 0.250
0.750 0.750 0.750
0.500 0.500 0.500

9.
PuReW (PBE-GGA, relaxed); total magnetization = 1.29 μB/atom; calculated volume = 18.57 Å³ per atom; density = 18.30 Mg/m³; raw total energy = -154.2 eV/cell
1.0
5.046 0.000 0.000
2.523 4.802 0.000
2.523 0.000 9.197
Pu Re W
4 4 4
direct
0.177 0.500 0.647
0.323 0.500 0.353
0.573 0.000 0.853
0.427 0.000 0.147
0.635 0.500 0.730
0.865 0.500 0.270
0.115 0.000 0.770
0.885 0.000 0.230
0.932 0.137 0.500
0.568 0.863 0.500
0.818 0.363 0.000
0.182 0.637 0.000

10.
YPuRe4 (PBE-GGA, relaxed); total magnetization = 1.02 μB/atom; calculated volume = 18.77 Å³ per atom; density = 15.89 Mg/m³; raw total energy = -71.0 eV/cell
1.0
-4.355 2.830 -1.551
-1.122 0.576 -5.272
-4.265 -2.556 -2.158
Y Re Pu
1 4 1
direct
0.000 0.000 0.000
0.625 0.625 0.125
0.625 0.125 0.625
0.625 0.625 0.625
0.125 0.625 0.625
0.250 0.250 0.250

11.
YPu2Re9 (PBE-GGA, relaxed); total magnetization = 0.81 μB/atom; calculated volume = 18.26 Å³ per atom; density = 17.07 Mg/m³; raw total energy = -146.4 eV/cell
1.0
-3.179 -2.781 3.206
0.841 0.019 5.235
-6.184 6.228 3.655
Y Pu Re
1 2 9
direct
0.000 0.000 0.000
0.854 0.854 0.437
0.146 0.146 0.563
0.665 0.665 0.005
0.335 0.335 0.995
0.500 0.500 0.500
0.415 0.415 0.249
0.921 0.415 0.249
0.415 0.921 0.249
0.585 0.585 0.751
0.585 0.079 0.751
0.079 0.585 0.751

12.
Pu2Zn3Re (PBE-GGA, relaxed); total magnetization = 1.68 μB/atom; calculated volume = 18.24 Å³ per atom; density = 13.21 Mg/m³; raw total energy = -45.3 eV/cell
1.0
4.604 -0.126 -2.400
-2.927 4.284 -0.240
-0.031 0.282 5.551
Pu Zn Re
2 3 1
direct
0.726 0.363 0.088
0.274 0.637 0.912
0.500 0.500 0.500
0.000 0.000 0.500
0.500 0.000 0.500
0.000 0.000 0.000

13.
PuZn4Re (PBE-GGA, relaxed); total magnetization = 0.71 μB/atom; calculated volume = 16.10 Å³ per atom; density = 11.90 Mg/m³; raw total energy = -31.3 eV/cell
1.0
-0.621 4.505 2.416
-4.314 0.924 2.657
0.138 0.203 5.144
Re Zn Pu
1 4 1
direct
0.000 0.000 0.000
0.626 0.626 0.121
0.626 0.121 0.626
0.626 0.626 0.626
0.121 0.626 0.626
0.250 0.250 0.250

14.
Pu2ZnRe (PBE-GGA, relaxed); total magnetization = 2.30 μB/atom; calculated volume = 19.83 Å³ per atom; density = 15.48 Mg/m³; raw total energy = -40.6 eV/cell
1.0
-1.941 1.115 1.739
-2.677 0.313 -0.879
-4.036 -9.939 4.179
Re Zn Pu
1 1 2
direct
0.500 0.500 0.500
0.000 0.000 0.000
0.091 0.091 0.728
0.909 0.909 0.272

15.
PuZnRe (PBE-GGA, relaxed); total magnetization = 0.53 μB/atom; calculated volume = 19.39 Å³ per atom; density = 14.15 Mg/m³; raw total energy = -161.6 eV/cell
1.0
-3.442 -2.639 2.655
1.180 -4.594 1.833
4.369 4.158 14.665
Pu Zn Re
6 6 6
direct
0.566 0.566 0.302
0.434 0.434 0.698
0.891 0.891 0.327
0.109 0.109 0.673
0.178 0.178 0.465
0.822 0.822 0.535
0.377 0.885 0.854
0.885 0.377 0.854
0.885 0.885 0.854
0.623 0.115 0.146
0.115 0.623 0.146
0.115 0.115 0.146
0.237 0.237 0.289
0.763 0.763 0.711
0.000 0.500 0.000
0.500 0.000 0.000
0.500 0.500 0.000
0.500 0.500 0.500

16.
Pu2ZnRe (PBE-GGA, relaxed); total magnetization = 2.39 μB/atom; calculated volume = 19.81 Å³ per atom; density = 15.50 Mg/m³; raw total energy = -41.8 eV/cell
1.0
4.019 0.000 0.000
0.000 4.441 0.000
0.000 0.000 4.441
Re Zn Pu
1 1 2
direct
0.500 0.500 0.500
0.500 0.000 0.000
0.000 0.000 0.500
0.000 0.500 0.000

17.
Pu2ZnRe (PBE-GGA, relaxed); total magnetization = 0.00 μB/atom; calculated volume = 16.48 Å³ per atom; density = 18.63 Mg/m³; raw total energy = -40.8 eV/cell
1.0
2.533 0.000 0.000
0.000 2.533 0.000
0.000 0.000 10.277
Re Zn Pu
1 1 2
direct
0.500 0.500 0.000
0.500 0.500 0.500
0.000 0.000 0.746
0.000 0.000 0.254

18.
PuZrRe (PBE-GGA, relaxed); total magnetization = 1.68 μB/atom; calculated volume = 20.44 Å³ per atom; density = 14.12 Mg/m³; excess energy over the best structure of this formula in the dataset = 0.08 eV per formula unit
1.0
3.302 0.000 0.000
0.000 3.302 0.000
-1.651 -1.651 5.623
Re Zr Pu
1 1 1
direct
0.672 0.672 0.343
0.314 0.314 0.628
0.015 0.015 0.029

19.
PuZrRe4 (PBE-GGA, relaxed); total magnetization = 0.90 μB/atom; calculated volume = 18.19 Å³ per atom; density = 16.44 Mg/m³; raw total energy = -73.4 eV/cell
1.0
5.364 0.000 0.000
2.682 4.645 0.000
2.682 1.548 4.379
Re Zr Pu
4 1 1
direct
0.625 0.625 0.124
0.625 0.124 0.625
0.625 0.625 0.625
0.124 0.625 0.625
0.000 0.000 0.000
0.250 0.250 0.250

20.
PuZrRe (PBE-GGA, relaxed); total magnetization = 0.00 μB/atom; calculated volume = 18.83 Å³ per atom; density = 15.33 Mg/m³; excess energy over the best structure of this formula in the dataset = 0.00 eV per formula unit
1.0
-2.127 3.146 -3.920
-1.838 -2.260 -4.616
-13.227 -1.035 2.546
Zr Pu Re
6 6 6
direct
0.732 0.732 0.805
0.268 0.268 0.195
0.038 0.038 0.885
0.962 0.962 0.115
0.184 0.184 0.449
0.816 0.816 0.551
0.181 0.744 0.331
0.744 0.181 0.331
0.744 0.744 0.331
0.819 0.256 0.669
0.256 0.819 0.669
0.256 0.256 0.669
0.388 0.388 0.835
0.612 0.612 0.165
0.000 0.500 0.000
0.500 0.000 0.000
0.500 0.500 0.000
0.500 0.500 0.500

21.
Pu4Rh3 (PBE-GGA, relaxed); total magnetization = 1.39 μB/atom; calculated volume = 20.14 Å³ per atom; density = 15.13 Mg/m³; excess energy over the best structure of this formula in the dataset = 0.00 eV per formula unit
1.0
5.678 0.000 0.000
-1.893 7.573 0.000
-1.893 -3.786 6.558
Pu Rh
8 6
direct
0.500 0.000 0.000
0.000 0.000 0.000
0.966 0.718 0.572
0.394 0.428 0.146
0.248 0.854 0.282
0.034 0.282 0.428
0.606 0.572 0.854
0.752 0.146 0.718
0.105 0.562 0.853
0.253 0.147 0.710
0.543 0.290 0.438
0.895 0.438 0.147
0.747 0.853 0.290
0.457 0.710 0.562

22.
PuRh2 (PBE-GGA, relaxed); total magnetization = 1.62 μB/atom; calculated volume = 17.85 Å³ per atom; density = 13.95 Mg/m³; raw total energy = -61.1 eV/cell
1.0
-4.799 0.942 2.119
-4.404 -0.973 -2.840
-3.176 -4.072 1.319
Rh Pu
4 2
direct
0.125 0.625 0.625
0.625 0.125 0.625
0.625 0.625 0.625
0.625 0.625 0.125
0.000 0.000 0.000
0.250 0.250 0.250

23.
PuRh5 (PBE-GGA, relaxed); total magnetization = 0.42 μB/atom; calculated volume = 15.75 Å³ per atom; density = 13.33 Mg/m³; raw total energy = -52.2 eV/cell
1.0
3.991 0.000 0.000
-1.996 4.409 0.165
0.000 -1.930 5.297
Pu Rh
1 5
direct
0.972 0.944 0.944
0.304 0.608 0.604
0.641 0.281 0.285
0.640 0.280 0.767
0.972 0.944 0.444
0.305 0.609 0.122

24.
Pu5Rh4 (PBE-GGA, relaxed); total magnetization = 0.61 μB/atom; calculated volume = 18.97 Å³ per atom; density = 15.87 Mg/m³; excess energy over the best structure of this formula in the dataset = 0.77 eV per formula unit
1.0
-0.104 3.447 -0.854
-4.878 2.323 4.567
5.476 2.435 3.759
Pu Rh
5 4
direct
0.000 0.005 0.995
0.000 0.328 0.672
0.000 0.667 0.333
0.258 0.342 0.009
0.742 0.991 0.658
0.353 0.647 0.671
0.353 0.005 0.314
0.647 0.686 0.995
0.647 0.329 0.353

25.
Pu4Rh3 (PBE-GGA, relaxed); total magnetization = 2.96 μB/atom; calculated volume = 22.38 Å³ per atom; density = 13.62 Mg/m³; excess energy over the best structure of this formula in the dataset = 0.16 eV per formula unit
1.0
4.621 0.000 1.377
2.105 4.114 1.377
0.053 0.032 8.264
Pu Rh
4 3
direct
0.622 0.622 0.133
0.874 0.874 0.378
0.126 0.126 0.622
0.378 0.378 0.867
0.251 0.251 0.247
0.749 0.749 0.753
0.000 0.000 0.000